## LaErSi4 (PBE-GGA)

Data for a relaxed structure of LaErSi4.

Values from the calculation:
- Formation energy without anion corrections: -0.525 eV/atom
- D(E_F): 2.3 states/eV/f.u.

Cell lengths 7.4216, 16.2215, 4.1714 Å; angles 90.00, 90.00, 90.00 degrees
Positions (direct):
1 La 0.1301 0.1667 0.0000
2 La 0.3699 0.6667 0.0000
3 La 0.6301 0.3333 0.0000
4 La 0.8699 0.8333 0.0000
5 Er 0.1349 0.4133 0.0000
6 Er 0.3651 0.9133 0.0000
7 Er 0.6349 0.0867 0.0000
8 Er 0.8651 0.5867 0.0000
9 Si 0.0306 0.6866 0.5000
10 Si 0.1005 0.9433 0.5000
11 Si 0.1437 0.5428 0.5000
12 Si 0.2102 0.8038 0.5000
13 Si 0.2898 0.3038 0.5000
14 Si 0.3563 0.0428 0.5000
15 Si 0.3995 0.4433 0.5000
16 Si 0.4694 0.1866 0.5000
17 Si 0.5306 0.8134 0.5000
18 Si 0.6005 0.5567 0.5000
19 Si 0.6437 0.9572 0.5000
20 Si 0.7102 0.6962 0.5000
21 Si 0.7898 0.1962 0.5000
22 Si 0.8563 0.4572 0.5000
23 Si 0.8995 0.0567 0.5000
24 Si 0.9694 0.3134 0.5000

## LaEr2Si (PBE-GGA)

Data for a relaxed structure of LaEr2Si.

Values from the calculation:
- Formation energy without anion corrections: -0.172 eV/atom
- D(E_F): 5.2 states/eV/f.u.

Cell lengths 3.7242, 3.7242, 29.5133 Å; angles 90.00, 90.00, 120.00 degrees
Positions (direct):
1 La 0.0000 0.0000 0.0000
2 La 0.3333 0.6667 0.6667
3 La 0.6667 0.3333 0.3333
4 Er 0.0000 0.0000 0.2288
5 Er 0.0000 0.0000 0.7712
6 Er 0.3333 0.6667 0.4379
7 Er 0.3333 0.6667 0.8955
8 Er 0.6667 0.3333 0.1045
9 Er 0.6667 0.3333 0.5621
10 Si 0.0000 0.0000 0.5000
11 Si 0.3333 0.6667 0.1667
12 Si 0.6667 0.3333 0.8333

## La5Sm3Er3 (PBE-GGA)

Data for a relaxed structure of La5Sm3Er3.

Values from the calculation:
- Formation energy from the elements: 290 meV/atom
- D(E_F): 16.4 states/eV/f.u.

Cell lengths 11.4474, 11.4474, 3.4845 Å; angles 90.00, 90.00, 120.00 degrees
Positions (direct):
1 La 0.0000 0.6631 0.0000
2 La 0.3333 0.6667 0.0000
3 La 0.3369 0.3369 0.0000
4 La 0.6631 0.0000 0.0000
5 La 0.6667 0.3333 0.0000
6 Sm 0.0000 0.4017 0.5000
7 Sm 0.4017 0.0000 0.5000
8 Sm 0.5983 0.5983 0.5000
9 Er 0.0000 0.1591 0.0000
10 Er 0.1591 0.0000 0.0000
11 Er 0.8409 0.8409 0.0000

## La3SmEr5 (PBE-GGA)

Data for a relaxed structure of La3SmEr5.

Values from the calculation:
- Formation energy from the elements: 242 meV/atom
- D(E_F): 11.1 states/eV/f.u.

Cell lengths 10.0033, 10.0033, 10.0033 Å; angles 128.39, 128.39, 76.00 degrees
Positions (direct):
1 La 0.1173 0.6173 0.7346
2 La 0.2500 0.2500 0.0000
3 La 0.3827 0.1173 0.5000
4 La 0.6173 0.8827 0.5000
5 La 0.7500 0.7500 0.0000
6 La 0.8827 0.3827 0.2654
7 Sm 0.2500 0.7500 0.5000
8 Sm 0.7500 0.2500 0.5000
9 Er 0.0000 0.0000 0.0000
10 Er 0.0741 0.1477 0.5000
11 Er 0.1477 0.6477 0.0736
12 Er 0.3523 0.4259 0.5000
13 Er 0.4259 0.9259 0.0736
14 Er 0.5000 0.5000 0.0000
15 Er 0.5741 0.0741 0.9264
16 Er 0.6477 0.5741 0.5000
17 Er 0.8523 0.3523 0.9264
18 Er 0.9259 0.8523 0.5000

## LaSm5Er (PBE-GGA)

Data for a relaxed structure of LaSm5Er.

Values from the calculation:
- Formation energy from the elements: 200 meV/atom
- D(E_F): 9.3 states/eV/f.u.

Cell lengths 6.3009, 6.3019, 7.0054 Å; angles 99.45, 99.59, 111.90 degrees
Positions (direct):
1 La 0.0000 0.0000 0.0000
2 Sm 0.0923 0.5269 0.2721
3 Sm 0.4723 0.9070 0.7275
4 Sm 0.5001 0.5001 0.0004
5 Sm 0.5280 0.0924 0.2723
6 Sm 0.9071 0.4734 0.7276
7 Er 0.0010 0.0010 0.5004

## La3Sm4Er4 (PBE-GGA)

Data for a relaxed structure of La3Sm4Er4.

Values from the calculation:
- Formation energy from the elements: 153 meV/atom
- D(E_F): 18.1 states/eV/f.u.

Cell lengths 10.8094, 6.7226, 6.7226 Å; angles 50.76, 90.00, 90.00 degrees
Positions (direct):
1 La 0.0000 0.0000 0.0000
2 La 0.2869 0.1596 0.1596
3 La 0.7131 0.1596 0.1596
4 Sm 0.0000 0.7032 0.7032
5 Sm 0.2168 0.4957 0.4957
6 Sm 0.5000 0.6334 0.6334
7 Sm 0.7832 0.4957 0.4957
8 Er 0.0000 0.3063 0.3063
9 Er 0.3049 0.8543 0.8543
10 Er 0.5000 0.3611 0.3611
11 Er 0.6951 0.8543 0.8543

## LaSm4Er (PBE-GGA)

Data for a relaxed structure of LaSm4Er.

Values from the calculation:
- Formation energy from the elements: 253 meV/atom
- D(E_F): 10.5 states/eV/f.u.

Cell lengths 6.6824, 6.6824, 6.6824 Å; angles 60.00, 60.00, 60.00 degrees
Positions (direct):
1 La 0.0000 0.0000 0.0000
2 Sm 0.1276 0.6241 0.6241
3 Sm 0.6241 0.1276 0.6241
4 Sm 0.6241 0.6241 0.1276
5 Sm 0.6241 0.6241 0.6241
6 Er 0.2500 0.2500 0.2500

## LaSmEr4 (PBE-GGA)

Data for a relaxed structure of LaSmEr4.

Values from the calculation:
- Formation energy from the elements: 144 meV/atom
- D(E_F): 10.5 states/eV/f.u.

Cell lengths 8.6032, 8.6032, 6.4569 Å; angles 99.66, 99.66, 118.06 degrees
Positions (direct):
1 La 0.0829 0.9171 0.7500
2 La 0.9171 0.0829 0.2500
3 Sm 0.4974 0.5026 0.2500
4 Sm 0.5026 0.4974 0.7500
5 Er 0.0697 0.3420 0.8811
6 Er 0.2126 0.6019 0.4685
7 Er 0.3420 0.0697 0.3811
8 Er 0.3981 0.7874 0.0315
9 Er 0.6019 0.2126 0.9685
10 Er 0.6580 0.9303 0.6189
11 Er 0.7874 0.3981 0.5315
12 Er 0.9303 0.6580 0.1189

## La8Sm3Er2 (PBE-GGA)

Data for a relaxed structure of La8Sm3Er2.

Values from the calculation:
- Formation energy from the elements: 147 meV/atom
- D(E_F): 21.1 states/eV/f.u.

Cell lengths 9.2242, 9.2242, 5.9149 Å; angles 105.25, 105.25, 75.81 degrees
Positions (direct):
1 La 0.0789 0.0789 0.2299
2 La 0.1006 0.5614 0.8324
3 La 0.3423 0.3423 0.3821
4 La 0.4386 0.8994 0.1676
5 La 0.5614 0.1006 0.8324
6 La 0.6577 0.6577 0.6179
7 La 0.8994 0.4386 0.1676
8 La 0.9211 0.9211 0.7701
9 Sm 0.2408 0.7592 0.5000
10 Sm 0.5000 0.5000 0.0000
11 Sm 0.7592 0.2408 0.5000
12 Er 0.1748 0.1748 0.8066
13 Er 0.8252 0.8252 0.1934

## La2Sm2Er7 (PBE-GGA)

Data for a relaxed structure of La2Sm2Er7.

Values from the calculation:
- Formation energy from the elements: 151 meV/atom
- D(E_F): 18.2 states/eV/f.u.

Cell lengths 8.1031, 8.1031, 6.1067 Å; angles 106.47, 106.47, 91.50 degrees
Positions (direct):
1 La 0.1007 0.1007 0.3123
2 La 0.8993 0.8993 0.6877
3 Sm 0.2905 0.7095 0.0000
4 Sm 0.7095 0.2905 0.0000
5 Er 0.0880 0.5662 0.3212
6 Er 0.2707 0.2707 0.9267
7 Er 0.4338 0.9120 0.6788
8 Er 0.5000 0.5000 0.5000
9 Er 0.5662 0.0880 0.3212
10 Er 0.7293 0.7293 0.0733
11 Er 0.9120 0.4338 0.6788

## LaSm7Er3 (PBE-GGA)

Data for a relaxed structure of LaSm7Er3.

Values from the calculation:
- Formation energy from the elements: 195 meV/atom
- D(E_F): 17.7 states/eV/f.u.

Cell lengths 7.1731, 7.1731, 8.6599 Å; angles 90.00, 90.00, 120.00 degrees
Positions (direct):
1 La 0.0000 0.0000 0.0000
2 Sm 0.0018 0.5009 0.9865
3 Sm 0.3320 0.1660 0.3322
4 Sm 0.3333 0.6667 0.3202
5 Sm 0.4991 0.5009 0.9865
6 Sm 0.4991 0.9982 0.9865
7 Sm 0.8340 0.1660 0.3322
8 Sm 0.8340 0.6680 0.3322
9 Er 0.1674 0.3348 0.6574
10 Er 0.1674 0.8326 0.6574
11 Er 0.6652 0.8326 0.6574

## LaSm4Er15 (PBE-GGA)

Data for a relaxed structure of LaSm4Er15.

Values from the calculation:
- Formation energy from the elements: 25 meV/atom
- D(E_F): 27.5 states/eV/f.u.

Cell lengths 5.0180, 5.0180, 25.0020 Å; angles 90.00, 90.00, 90.00 degrees
Positions (direct):
1 La 0.0000 0.0000 0.0000
2 Sm 0.0000 0.0000 0.2005
3 Sm 0.0000 0.0000 0.4003
4 Sm 0.0000 0.0000 0.5997
5 Sm 0.0000 0.0000 0.7995
6 Er 0.0000 0.5000 0.1017
7 Er 0.0000 0.5000 0.3006
8 Er 0.0000 0.5000 0.5000
9 Er 0.0000 0.5000 0.6994
10 Er 0.0000 0.5000 0.8983
11 Er 0.5000 0.0000 0.1017
12 Er 0.5000 0.0000 0.3006
13 Er 0.5000 0.0000 0.5000
14 Er 0.5000 0.0000 0.6994
15 Er 0.5000 0.0000 0.8983
16 Er 0.5000 0.5000 0.0000
17 Er 0.5000 0.5000 0.2011
18 Er 0.5000 0.5000 0.4002
19 Er 0.5000 0.5000 0.5998
20 Er 0.5000 0.5000 0.7989